1.
Computed, not measured: a relaxed structure of Ho6Te3AsPt2 at the PBE level of DFT.

Calculated values
Formation energy from raw total energies = -1315.0 meV/atom
Symmetry = No. 12

Cell lengths 7.207, 7.207, 7.611 Å; angles 99.16, 99.16, 120.22 degrees
Sites, in units of the cell vectors:
Pt 0.668 0.332 0.000
Pt 0.332 0.668 0.000
Ho 0.071 0.412 0.215
Ho 0.270 0.270 0.786
Ho 0.929 0.588 0.785
Ho 0.730 0.730 0.214
Ho 0.412 0.071 0.215
Ho 0.588 0.929 0.785
Te 0.163 0.837 0.500
Te 0.500 0.500 0.500
Te 0.837 0.163 0.500
As 0.000 0.000 0.000

---

2.
Computed, not measured: a relaxed structure of SrAgTeI2 at the PBE level of DFT.

Calculated values
Formation energy from raw total energies = -588.9 meV/atom
Energy relative to the lowest polymorph listed for this composition = 0 meV per atom
Symmetry = No. 123

Cell lengths 5.659, 5.659, 5.704 Å; angles 90.00, 90.00, 90.00 degrees
Sites, in units of the cell vectors:
Te 0.000 0.000 0.500
I 0.000 0.500 0.000
I 0.500 0.000 0.000
Sr 0.500 0.500 0.500
Ag 0.000 0.000 0.000

---

3.
Computed, not measured: a relaxed structure of Al3SiBr at the PBE level of DFT.

Calculated values
Formation energy from raw total energies = 421.7 meV/atom
Energy relative to the lowest polymorph listed for this composition = 0 meV per atom
Symmetry = No. 221

Cell lengths 5.004, 5.004, 5.004 Å; angles 90.00, 90.00, 90.00 degrees
Sites, in units of the cell vectors:
Al 0.500 0.000 0.000
Al 0.000 0.500 0.000
Al 0.000 0.000 0.500
Si 0.000 0.000 0.000
Br 0.500 0.500 0.500

---

4.
Computed, not measured: a relaxed structure of Na4NdSc3Se8 at the PBE level of DFT.

Calculated values
Formation energy from raw total energies = -1592.0 meV/atom
Symmetry = No. 166

Cell lengths 8.069, 8.396, 8.069 Å; angles 118.74, 120.00, 90.00 degrees
Sites, in units of the cell vectors:
Na 0.000 0.000 0.500
Na 0.500 0.000 0.500
Na 0.500 0.000 0.000
Na 0.000 0.000 0.000
Sc 0.000 0.500 0.500
Sc 0.500 0.500 0.500
Sc 0.500 0.500 0.000
Se 0.724 0.724 0.974
Se 0.251 0.724 0.974
Se 0.250 0.724 0.501
Se 0.276 0.276 0.026
Se 0.739 0.716 0.477
Se 0.749 0.276 0.026
Se 0.750 0.276 0.499
Se 0.261 0.284 0.523
Nd 0.000 0.500 0.000